(1)
Below is RbSiOF2 after structural relaxation, with properties calculated at the PBE level.

Computed properties:
Excess energy over the best structure of this formula in the dataset: 191.7 kJ/mol of atoms
Space group: P4/mmm
Energy relative to the elements, uncorrected: -127 meV per atom
Crystal system: tetragonal

Cell: 4.829 4.829 4.419 Å, 90.00 90.00 90.00°
Positions (direct):
Rb 0.000 0.000 0.000
F 0.500 0.000 0.000
Si 0.500 0.500 0.500
F 0.000 0.500 0.000
O 0.000 0.000 0.500

---

(2)
Below is ScTl3Ru after structural relaxation, with properties calculated at the PBE level.

Computed properties:
Excess energy over the best structure of this formula in the dataset: 0.0 kJ/mol of atoms
ΔE_f: 0.51 eV per atom
Space group: Pm-3m
Crystal system: cubic

Cell: 5.223 5.223 5.223 Å, 90.00 90.00 90.00°
Each line ends with the local moment (μB).
Positions (direct):
Ru 0.000 0.000 0.000  0.05
Tl 0.000 0.500 0.000  0.00
Sc 0.500 0.500 0.500  0.18
Tl 0.500 0.000 0.000  0.01
Tl 0.000 0.000 0.500  0.00

---

(3)
Below is Sc2TlGaB after structural relaxation, with properties calculated at the PBE level.

Computed properties:
ΔE_f: -0.26 eV per atom
Space group: P4/mmm
Crystal system: tetragonal

Cell: 4.783 4.087 4.783 Å, 90.00 90.00 90.00°
Positions (direct):
Ga 0.000 0.500 0.000
Sc 0.000 0.000 0.500
Sc 0.500 0.000 0.000
Tl 0.500 0.500 0.500
B 0.000 0.000 0.000

---

(4)
Below is SrZn2Cr after structural relaxation, with properties calculated at the PBE level.

Computed properties:
ΔE_f: 0.18 eV per atom
Space group: P4/mmm
Crystal system: tetragonal

Cell: 3.440 3.440 7.082 Å, 90.00 90.00 89.99°
Each line ends with the local moment (μB).
Positions (direct):
Sr 0.500 0.500 0.750  -0.01
Zn 0.000 0.000 0.067  -0.04
Zn 0.000 0.000 0.433  -0.04
Cr 0.500 0.500 0.250  3.32

---

(5)
Below is CdTeCl after structural relaxation, with properties calculated at the PBE level.

Computed properties:
Excess energy over the best structure of this formula in the dataset: 9.3 kJ/mol of atoms
Space group: Fmm2
Energy relative to the elements, uncorrected: -391 meV per atom
Crystal system: orthorhombic

Cell: 8.085 7.786 3.562 Å, 81.77 72.38 25.85°
Positions (direct):
Cd 0.989 0.989 0.011
Cl 0.378 0.378 0.622
Te 0.633 0.633 0.367

---

(6)
Below is LiPm3Pr3S8 after structural relaxation, with properties calculated at the PBE level.

Computed properties:
Space group: R-3m
Energy relative to the elements, uncorrected: -1976 meV per atom
Crystal system: trigonal

Cell: 8.064 8.065 8.085 Å, 119.91 90.00 120.00°
Positions (direct):
S 0.758 0.515 0.261
S 0.252 0.504 0.255
Pm 0.000 0.500 0.500
S 0.754 0.996 0.739
Pr 0.500 0.500 0.000
Pr 0.000 0.500 0.000
S 0.758 0.004 0.261
S 0.242 0.996 0.739
Li 0.000 0.000 0.500
S 0.748 0.496 0.745
Pm 0.500 0.500 0.500
S 0.242 0.485 0.739
Pr 0.000 0.000 0.000
S 0.246 0.004 0.261
Pm 0.500 0.000 0.500

---

no.,calculated volume (Å³/atom)
1,20.613
2,28.497
3,18.697
4,20.959
5,29.514
6,24.822